Entry 1:
PBE CrCdSe2, optimized geometry; crystal system = trigonal; ΔE_f (raw) = -0.37 eV per atom; uncorrected energy = -19.0 eV per cell
1.0
3.8972 -0.0476 0.0488
1.9874 3.3527 0.0488
1.8785 1.0551 6.5103
Cd Se Cr
1 2 1
Direct
0.7500 0.7500 0.7500
0.5110 0.5110 0.4690
0.9890 0.9890 0.0310
0.2500 0.2500 0.2500


Entry 2:
PBE Tb2SmTe3, optimized geometry; crystal system = orthorhombic; ΔE_f (raw) = -1.33 eV per atom; uncorrected energy = -31.4 eV per cell
1.0
-0.8478 -3.9428 1.8187
0.6802 -2.6993 -5.5348
6.4977 2.4920 3.0506
Tb Te Sm
2 3 1
Direct
0.8389 0.8389 0.1778
0.1611 0.1611 0.8222
0.1716 0.6716 0.8432
0.5000 0.0000 0.5000
0.8284 0.3284 0.1568
0.5000 0.5000 0.5000